Here is a relaxed structure of Mn2NbInSi from the Alexandria database. Energies are from GGA-PBE.

POSCAR file:
```
Mn2NbInSi
1.0
4.574 0.000 0.000
0.000 4.841 0.000
0.000 0.000 4.574
Nb Mn Si In
1 2 1 1
Direct
0.000 0.000 0.000
0.000 0.000 0.500
0.500 0.000 0.000
0.000 0.500 0.000
0.500 0.500 0.500
```

Calculated values
- formation energy from raw total energies (eV per atom) = 1.368
- theoretical density (g cm⁻³) = 5.67
- SG = No. 123

***

Here is a relaxed structure of K3Tm2ZrO6 from the Alexandria database. Energies are from GGA-PBE.

POSCAR file:
```
K3Tm2ZrO6
1.0
5.863 -0.001 0.000
-2.931 5.078 0.000
-0.978 -1.693 6.231
K Tm Zr O
3 2 1 6
Direct
0.166 0.834 0.500
0.834 0.166 0.500
0.500 0.500 0.500
0.333 0.667 0.000
0.667 0.333 0.000
0.000 0.000 0.000
0.939 0.614 0.817
0.736 0.736 0.183
0.061 0.386 0.183
0.614 0.939 0.817
0.264 0.264 0.817
0.386 0.061 0.183
```

Calculated values
- formation energy from raw total energies (eV per atom) = -2.639
- theoretical density (g cm⁻³) = 5.75
- SG = No. 12

***

Here is a relaxed structure of Cs2TlCu2F7 from the Alexandria database. Energies are from GGA-PBE.

POSCAR file:
```
Cs2TlCu2F7
1.0
4.269 -0.003 0.013
0.003 4.269 0.013
2.111 2.109 11.413
Cs Tl Cu F
2 1 2 7
Direct
0.816 0.816 0.366
0.184 0.184 0.634
0.000 0.000 0.000
0.589 0.589 0.823
0.411 0.411 0.177
0.500 0.500 0.000
0.323 0.323 0.351
0.677 0.677 0.649
0.910 0.410 0.178
0.410 0.910 0.178
0.590 0.090 0.822
0.090 0.590 0.822
```

Calculated values
- formation energy from raw total energies (eV per atom) = -1.992
- theoretical density (g cm⁻³) = 5.84
- SG = No. 12

***

Here is a relaxed structure of Sc5Hg3 from the Alexandria database. Energies are from GGA-PBE.

POSCAR file:
```
Sc5Hg3
1.0
8.561 0.000 0.000
4.280 7.414 0.000
0.000 0.000 5.730
Hg Sc
6 10
Direct
0.603 0.397 0.750
0.397 0.603 0.250
0.397 0.000 0.750
0.000 0.397 0.250
0.603 0.000 0.250
0.000 0.603 0.750
0.762 0.238 0.250
0.238 0.762 0.750
0.238 0.000 0.250
0.000 0.238 0.750
0.667 0.667 0.000
0.667 0.667 0.500
0.333 0.333 0.000
0.333 0.333 0.500
0.762 0.000 0.750
0.000 0.762 0.250
```

Calculated values
- theoretical density (g cm⁻³) = 7.55
- energy of formation from the pure elements (eV per formula unit) = -2.5
- SG = No. 193

***

Here is a relaxed structure of TbHoPa from the Alexandria database. Energies are from GGA-PBE.

POSCAR file:
```
TbHoPa
1.0
3.400 0.000 0.000
0.000 3.400 0.000
-1.700 -1.700 7.546
Pa Tb Ho
1 1 1
Direct
0.333 0.333 0.666
0.990 0.990 0.981
0.677 0.677 0.354
```

Calculated values
- theoretical density (g cm⁻³) = 10.56
- energy of formation from the pure elements (eV per formula unit) = 0.4
- SG = No. 107

***

Here is a relaxed structure of Ta2FeCoSi from the Alexandria database. Energies are from GGA-PBE.

POSCAR file:
```
Ta2FeCoSi
1.0
4.536 0.000 0.000
0.000 4.107 0.000
0.000 0.000 4.536
Si Co Fe Ta
1 1 1 2
Direct
0.000 0.500 0.000
0.500 0.500 0.500
0.000 0.000 0.000
0.000 0.000 0.500
0.500 0.000 0.000
```

Calculated values
- formation energy from raw total energies (eV per atom) = 0.749
- theoretical density (g cm⁻³) = 9.92
- SG = No. 123

***

Here is a relaxed structure of CsBiOsPt2 from the Alexandria database. Energies are from GGA-PBE.

POSCAR file:
```
CsBiOsPt2
1.0
-0.123 4.381 2.691
2.374 -2.357 3.946
4.568 1.329 -1.955
Cs Os Bi Pt
1 1 1 2
Direct
0.500 0.500 0.500
0.000 0.000 0.000
0.000 0.500 0.000
0.000 0.000 0.500
0.500 0.000 0.000
```

Calculated values
- theoretical density (g cm⁻³) = 11.19
- energy of formation from the pure elements (eV per formula unit) = 3.4
- SG = No. 123

***

Here is a relaxed structure of Be2CoRu from the Alexandria database. Energies are from GGA-PBE.

POSCAR file:
```
Be2CoRu
1.0
-2.493 -2.570 -2.553
-1.493 0.007 4.137
-2.122 1.311 -0.188
Ru Co Be
1 1 2
Direct
0.000 0.500 0.500
0.500 0.000 0.500
0.000 0.000 0.000
0.500 0.500 0.000
```

Calculated values
- theoretical density (g cm⁻³) = 7.08
- energy of formation from the pure elements (eV per formula unit) = -0.2
- SG = No. 12

***

Here is a relaxed structure of CrIr2Pb from the Alexandria database. Energies are from GGA-PBE.

POSCAR file:
```
CrIr2Pb
1.0
-3.075 2.289 2.014
-2.006 -0.929 -2.007
-0.137 -3.799 4.108
Cr Ir Pb
1 2 1
Direct
0.500 0.485 0.845
0.000 0.037 0.949
0.500 0.188 0.253
0.000 0.789 0.454
```

Calculated values
- theoretical density (g cm⁻³) = 15.32
- energy of formation from the pure elements (eV per formula unit) = 1.6
- SG = No. 38

***

Here is a relaxed structure of AlTe2H from the Alexandria database. Energies are from GGA-PBE.

POSCAR file:
```
AlTe2H
1.0
3.217 0.000 0.000
0.000 8.074 0.008
-1.609 -2.015 7.566
Al Te H
2 4 2
Direct
0.000 0.750 0.000
0.000 0.250 0.000
0.129 0.564 0.258
0.871 0.436 0.742
0.129 0.064 0.258
0.871 0.936 0.742
0.500 0.250 0.000
0.500 0.750 0.000
```

Calculated values
- final energy (eV/atom) = -3.46
- theoretical density (g cm⁻³) = 4.78
- SG = No. 12

***

- What is the theoretical density in the second record?
  5.75 g cm⁻³

***

- The highest theoretical density belongs to which entry?
  CrIr2Pb

***

- The lowest theoretical density belongs to which entry?
  AlTe2H

***

- What is the formula in the tenth record?
  AlTe2H